(1)
Y2Pb3 after structural relaxation. Source: Alexandria, functional PBE.

* calculated density: 8.26 Mg/m³
* space group: No. 164
* E above lowest polymorph: 137.5 meV per atom
* calculated formation energy: -26 kJ per mole of atoms

Cell: 5.2807 5.2807 6.6582 Å, 90.00 90.00 120.00°
Last column: nearest neighbours and their distance in Å.
Fractional positions:
Y  0.3333  0.6667  0.3536  8 Pb 3.20-3.45
Y  0.6667  0.3333  0.6464  8 Pb 3.20-3.45
Pb  0.0000  0.0000  0.5000  6 Y 3.20
Pb  0.3333  0.6667  0.8720  5 Y 3.21-3.45, 3 Pb 3.49
Pb  0.6667  0.3333  0.1280  5 Y 3.21-3.45, 3 Pb 3.49

---

(2)
YPb3 after structural relaxation. Source: Alexandria, functional PBE.

* calculated density: 10.05 Mg/m³
* space group: No. 59
* calculated formation energy: -24 kJ per mole of atoms

Cell: 6.5823 17.3141 6.1824 Å, 90.00 90.00 90.00°
Last column: nearest neighbours and their distance in Å.
Fractional positions:
Y  0.2500  0.0777  0.1352  10 Pb 3.26-3.54
Y  0.2500  0.4223  0.1352  10 Pb 3.26-3.54
Y  0.2500  0.7500  0.6009  12 Pb 3.29-3.63
Y  0.7500  0.2500  0.3991  12 Pb 3.29-3.63
Y  0.7500  0.5777  0.8648  10 Pb 3.26-3.54
Y  0.7500  0.9223  0.8648  10 Pb 3.26-3.54
Pb  0.0003  0.0834  0.6344  8 Pb 3.29-3.67, 4 Y 3.50-3.63
Pb  0.0003  0.4166  0.6344  8 Pb 3.29-3.67, 4 Y 3.50-3.63
Pb  0.9997  0.5834  0.3656  8 Pb 3.29-3.67, 4 Y 3.50-3.63
Pb  0.9997  0.9166  0.3656  8 Pb 3.29-3.67, 4 Y 3.50-3.63
Pb  0.0006  0.2500  0.9080  8 Pb 3.28-3.64, 2 Y 3.46-3.55
Pb  0.2500  0.2500  0.3820  4 Y 3.29-3.35, 8 Pb 3.36-3.67
Pb  0.2500  0.5839  0.8635  4 Y 3.26-3.30, 8 Pb 3.49-3.62
Pb  0.2500  0.9161  0.8635  4 Y 3.26-3.30, 8 Pb 3.49-3.62
Pb  0.4994  0.2500  0.9080  8 Pb 3.28-3.64, 2 Y 3.46-3.55
Pb  0.4997  0.0834  0.6344  8 Pb 3.29-3.67, 4 Y 3.50-3.63
Pb  0.4997  0.4166  0.6344  8 Pb 3.29-3.67, 4 Y 3.50-3.63
Pb  0.5003  0.5834  0.3656  8 Pb 3.29-3.67, 4 Y 3.50-3.63
Pb  0.5003  0.9166  0.3656  8 Pb 3.29-3.67, 4 Y 3.50-3.63
Pb  0.5006  0.7500  0.0920  8 Pb 3.28-3.64, 2 Y 3.46-3.55
Pb  0.7500  0.0839  0.1365  4 Y 3.26-3.30, 8 Pb 3.49-3.62
Pb  0.7500  0.4161  0.1365  4 Y 3.26-3.30, 8 Pb 3.49-3.62
Pb  0.7500  0.7500  0.6180  4 Y 3.29-3.35, 8 Pb 3.36-3.67
Pb  0.9994  0.7500  0.0920  8 Pb 3.28-3.64, 2 Y 3.46-3.55

---

(3)
YPb3 after structural relaxation. Source: Alexandria, functional PBE.

* calculated density: 9.84 Mg/m³
* space group: No. 166
* calculated formation energy: -16 kJ per mole of atoms

Cell: 6.3584 6.3584 6.3584 Å, 116.63 116.63 116.63°
Last column: nearest neighbours and their distance in Å.
Fractional positions:
Y  0.0000  0.0000  0.0000  6 Pb 3.34, 2 Y 3.55
Pb  0.0000  0.5000  0.5000  6 Pb 3.34-3.55, 2 Y 3.34
Pb  0.5000  0.0000  0.5000  2 Y 3.34, 6 Pb 3.34-3.55
Pb  0.5000  0.5000  0.0000  6 Pb 3.34-3.55, 2 Y 3.34

---

(4)
Y5Pb after structural relaxation. Source: Alexandria, functional PBE.

* calculated density: 5.56 Mg/m³
* space group: No. 216
* calculated formation energy: 17 kJ per mole of atoms

Cell: 6.5065 6.5065 6.5065 Å, 60.00 60.00 60.00°
Last column: nearest neighbours and their distance in Å.
Fractional positions:
Y  0.0000  0.0000  0.0000  12 Y 3.81, 4 Pb 3.98
Y  0.1226  0.6258  0.6258  6 Y 3.23-3.27
Y  0.6258  0.1226  0.6258  6 Y 3.23-3.27
Y  0.6258  0.6258  0.1226  6 Y 3.23-3.27
Y  0.6258  0.6258  0.6258  6 Y 3.23-3.27
Pb  0.2500  0.2500  0.2500  16 Y 3.82-3.98

---

(5)
Y3Pb after structural relaxation. Source: Alexandria, functional PBE.

* calculated density: 6.52 Mg/m³
* space group: No. 47
* calculated formation energy: -23 kJ per mole of atoms

Cell: 3.9674 4.4956 6.7710 Å, 90.00 90.00 90.00°
Last column: nearest neighbours and their distance in Å.
Fractional positions:
Y  0.0000  0.0000  0.0000  2 Pb 3.39, 8 Y 3.47
Y  0.5000  0.5000  0.2582  6 Y 3.27-3.50, 4 Pb 3.42
Y  0.5000  0.5000  0.7418  6 Y 3.27-3.50, 4 Pb 3.42
Pb  0.0000  0.0000  0.5000  10 Y 3.39-3.42

---

(6)
YPb3 after structural relaxation. Source: Alexandria, functional PBE.

* calculated density: 10.00 Mg/m³
* space group: No. 44
* calculated formation energy: -23 kJ per mole of atoms

Cell: 6.6151 6.6151 6.6151 Å, 148.41 61.90 128.26°
Last column: nearest neighbours and their distance in Å.
Fractional positions:
Y  0.0000  0.0000  0.0000  10 Pb 3.35-3.49, 2 Y 3.60
Pb  0.4027  0.6548  0.7479  9 Pb 3.40-3.60, 3 Y 3.46-3.49
Pb  0.5116  0.0116  0.5000  4 Y 3.35-3.46, 8 Pb 3.48-3.60
Pb  0.9068  0.6548  0.2521  9 Pb 3.40-3.60, 3 Y 3.46-3.49

---

(7)
Y2Pb after structural relaxation. Source: Alexandria, functional PBE.

* calculated density: 7.01 Mg/m³
* space group: No. 8
* calculated formation energy: -31 kJ per mole of atoms

Cell: 6.4341 6.4341 8.3816 Å, 93.17 93.17 31.79°
Last column: nearest neighbours and their distance in Å.
Fractional positions:
Y  0.0000  0.0000  0.0000  4 Pb 3.23-3.53, 6 Y 3.25-3.60
Y  0.0928  0.0928  0.6004  5 Pb 3.26-3.48, 3 Y 3.52-3.60
Y  0.3500  0.3500  0.2959  4 Pb 3.19-3.38, 2 Y 3.52
Y  0.7390  0.7390  0.9308  5 Y 3.25-3.52, 3 Pb 3.28-3.33
Pb  0.3721  0.3721  0.6773  8 Y 3.19-3.53, 2 Pb 3.52
Pb  0.6218  0.6218  0.2780  8 Y 3.23-3.38, 2 Pb 3.52

---

(8)
Y5Pb4 after structural relaxation. Source: Alexandria, functional PBE.

* calculated density: 6.57 Mg/m³
* space group: No. 87
* E above lowest polymorph: 269.4 meV per atom
* calculated formation energy: -30 kJ per mole of atoms

Cell: 9.4370 9.4370 9.4370 Å, 92.28 92.28 157.00°
Last column: nearest neighbours and their distance in Å.
Fractional positions:
Y  0.0000  0.0000  0.0000  4 Pb 3.30
Y  0.2689  0.3858  0.6547  5 Pb 3.14-3.19
Y  0.3858  0.7311  0.1169  5 Pb 3.14-3.19
Y  0.6142  0.2689  0.8831  5 Pb 3.14-3.19
Y  0.7311  0.6142  0.3453  5 Pb 3.14-3.19
Pb  0.0790  0.2393  0.3183  6 Y 3.14-3.30
Pb  0.2393  0.9210  0.1603  6 Y 3.14-3.30
Pb  0.7607  0.0790  0.8397  6 Y 3.14-3.30
Pb  0.9210  0.7607  0.6817  6 Y 3.14-3.30

---

(9)
Y5Pb after structural relaxation. Source: Alexandria, functional PBE.

* calculated density: 5.93 Mg/m³
* space group: No. 65
* calculated formation energy: -19 kJ per mole of atoms

Cell: 7.9710 7.9710 4.9252 Å, 90.00 90.00 144.30°
Last column: nearest neighbours and their distance in Å.
Fractional positions:
Y  0.0000  0.0000  0.0000  4 Pb 3.47, 8 Y 3.48-3.54
Y  0.1623  0.8377  0.5000  2 Pb 3.47, 10 Y 3.47-3.61
Y  0.3312  0.6688  0.0000  10 Y 3.47-3.55, 2 Pb 3.55
Y  0.6688  0.3312  0.0000  10 Y 3.47-3.55, 2 Pb 3.55
Y  0.8377  0.1623  0.5000  2 Pb 3.47, 10 Y 3.47-3.61
Pb  0.5000  0.5000  0.5000  12 Y 3.47-3.55

---

(10)
YPb3 after structural relaxation. Source: Alexandria, functional PBE.

* calculated density: 10.10 Mg/m³
* space group: No. 123
* calculated formation energy: -28 kJ per mole of atoms

Cell: 4.8820 4.8820 4.9003 Å, 90.00 90.00 90.00°
Last column: nearest neighbours and their distance in Å.
Fractional positions:
Y  0.0000  0.0000  0.0000  12 Pb 3.45-3.46
Pb  0.0000  0.5000  0.5000  8 Pb 3.45-3.46, 4 Y 3.46
Pb  0.5000  0.0000  0.5000  8 Pb 3.45-3.46, 4 Y 3.46
Pb  0.5000  0.5000  0.0000  4 Y 3.45, 8 Pb 3.46

---

(11)
YPb3 after structural relaxation. Source: Alexandria, functional PBE.

* calculated density: 9.76 Mg/m³
* space group: No. 123
* calculated formation energy: -14 kJ per mole of atoms

Cell: 3.5418 3.5418 9.6411 Å, 90.00 90.00 90.00°
Last column: nearest neighbours and their distance in Å.
Fractional positions:
Y  0.0000  0.0000  0.0000  8 Pb 3.39, 4 Y 3.54
Pb  0.0000  0.0000  0.5000  12 Pb 3.54-3.56
Pb  0.5000  0.5000  0.2377  4 Y 3.39, 8 Pb 3.54-3.56
Pb  0.5000  0.5000  0.7623  4 Y 3.39, 8 Pb 3.54-3.56

---

(12)
Y5Pb4 after structural relaxation. Source: Alexandria, functional PBE.

* calculated density: 7.80 Mg/m³
* space group: No. 139
* E above lowest polymorph: 341.4 meV per atom
* calculated formation energy: -23 kJ per mole of atoms

Cell: 7.5689 7.5689 7.5689 Å, 97.40 97.40 137.93°
Last column: nearest neighbours and their distance in Å.
Fractional positions:
Y  0.0000  0.0000  0.0000  4 Pb 3.16
Y  0.3240  0.3240  0.6479  6 Pb 3.24-3.53, 4 Y 3.43-3.52
Y  0.3240  0.6760  0.0000  6 Pb 3.24-3.53, 4 Y 3.43-3.52
Y  0.6760  0.3240  0.0000  6 Pb 3.24-3.53, 4 Y 3.43-3.52
Y  0.6760  0.6760  0.3521  6 Pb 3.24-3.53, 4 Y 3.43-3.52
Pb  0.0000  0.3164  0.3164  7 Y 3.16-3.53
Pb  0.0000  0.6836  0.6836  7 Y 3.16-3.53
Pb  0.3164  0.0000  0.3164  7 Y 3.16-3.53
Pb  0.6836  0.0000  0.6836  7 Y 3.16-3.53

---

(13)
Y3Pb after structural relaxation. Source: Alexandria, functional PBE.

* calculated density: 6.66 Mg/m³
* space group: No. 59
* calculated formation energy: -27 kJ per mole of atoms

Cell: 5.5907 6.6519 6.3591 Å, 90.00 90.00 90.00°
Last column: nearest neighbours and their distance in Å.
Fractional positions:
Y  0.2500  0.0038  0.1399  8 Y 3.28-3.63, 3 Pb 3.48-3.50
Y  0.2500  0.2500  0.6306  4 Pb 3.33-3.35, 8 Y 3.52-3.63
Y  0.2500  0.4962  0.1399  8 Y 3.28-3.63, 3 Pb 3.48-3.50
Y  0.7500  0.5038  0.8601  8 Y 3.28-3.63, 3 Pb 3.48-3.50
Y  0.7500  0.7500  0.3694  4 Pb 3.33-3.35, 8 Y 3.52-3.63
Y  0.7500  0.9962  0.8601  8 Y 3.28-3.63, 3 Pb 3.48-3.50
Pb  0.2500  0.7500  0.6586  12 Y 3.33-3.71
Pb  0.7500  0.2500  0.3414  12 Y 3.33-3.71

---

(14)
YPb3 after structural relaxation. Source: Alexandria, functional PBE.

* calculated density: 9.91 Mg/m³
* space group: No. 47
* calculated formation energy: -21 kJ per mole of atoms

Cell: 3.7556 4.6934 6.7542 Å, 90.00 90.00 90.00°
Last column: nearest neighbours and their distance in Å.
Fractional positions:
Y  0.0000  0.0000  0.0000  10 Pb 3.38-3.42, 2 Y 3.76
Pb  0.0000  0.0000  0.5000  2 Y 3.38, 10 Pb 3.48-3.76
Pb  0.5000  0.5000  0.2412  6 Pb 3.26-3.50, 4 Y 3.42
Pb  0.5000  0.5000  0.7588  6 Pb 3.26-3.50, 4 Y 3.42

---

(15)
Y3Pb after structural relaxation. Source: Alexandria, functional PBE.

* calculated density: 6.53 Mg/m³
* space group: No. 166
* calculated formation energy: -18 kJ per mole of atoms

Cell: 6.4541 6.4541 6.4541 Å, 116.90 116.90 116.90°
Last column: nearest neighbours and their distance in Å.
Fractional positions:
Y  0.0000  0.5000  0.5000  6 Y 3.38-3.45, 2 Pb 3.38
Y  0.5000  0.0000  0.5000  2 Pb 3.38, 6 Y 3.38-3.45
Y  0.5000  0.5000  0.0000  6 Y 3.38-3.45, 2 Pb 3.38
Pb  0.0000  0.0000  0.0000  6 Y 3.38, 2 Pb 3.45

---

(16)
Y2Pb after structural relaxation. Source: Alexandria, functional PBE.

* calculated density: 7.14 Mg/m³
* space group: No. 12
* calculated formation energy: -34 kJ per mole of atoms

Cell: 6.4876 6.4876 8.6604 Å, 109.76 109.76 31.63°
Last column: nearest neighbours and their distance in Å.
Fractional positions:
Y  0.1395  0.1395  0.0253  4 Pb 3.33-3.42, 8 Y 3.35-3.65
Y  0.1598  0.1598  0.6232  5 Pb 3.26-3.51, 5 Y 3.54-3.65
Y  0.8402  0.8402  0.3768  5 Pb 3.26-3.51, 5 Y 3.54-3.65
Y  0.8605  0.8605  0.9747  4 Pb 3.33-3.42, 8 Y 3.35-3.65
Pb  0.4456  0.4456  0.7127  9 Y 3.26-3.51, 2 Pb 3.54
Pb  0.5544  0.5544  0.2873  9 Y 3.26-3.51, 2 Pb 3.54

---

(17)
YPb3 after structural relaxation. Source: Alexandria, functional PBE.

* calculated density: 9.55 Mg/m³
* space group: No. 166
* calculated formation energy: -5 kJ per mole of atoms

Cell: 11.1994 11.1994 11.1994 Å, 18.50 18.50 18.50°
Last column: nearest neighbours and their distance in Å.
Fractional positions:
Y  0.0000  0.0000  0.0000  6 Pb 3.39, 6 Y 3.60
Pb  0.2524  0.2524  0.2524  3 Y 3.39, 9 Pb 3.51-3.60
Pb  0.5000  0.5000  0.5000  12 Pb 3.51-3.60
Pb  0.7476  0.7476  0.7476  3 Y 3.39, 9 Pb 3.51-3.60

---

(18)
Y2Pb3 after structural relaxation. Source: Alexandria, functional PBE.

* calculated density: 9.06 Mg/m³
* space group: No. 166
* E above lowest polymorph: 66.7 meV per atom
* calculated formation energy: -33 kJ per mole of atoms

Cell: 6.7747 6.7747 6.7747 Å, 45.97 45.97 45.97°
Last column: nearest neighbours and their distance in Å.
Fractional positions:
Y  0.1013  0.1013  0.1013  6 Pb 3.28-3.35
Y  0.8987  0.8987  0.8987  6 Pb 3.28-3.35
Pb  0.3085  0.3085  0.3085  4 Pb 3.18-3.47, 3 Y 3.35
Pb  0.5000  0.5000  0.5000  6 Y 3.28, 2 Pb 3.47
Pb  0.6915  0.6915  0.6915  4 Pb 3.18-3.47, 3 Y 3.35

---

(19)
Y3Pb after structural relaxation. Source: Alexandria, functional PBE.

* calculated density: 6.18 Mg/m³
* space group: No. 62
* calculated formation energy: -26 kJ per mole of atoms

Cell: 8.0541 9.6895 6.5313 Å, 90.00 90.00 90.00°
Last column: nearest neighbours and their distance in Å.
Fractional positions:
Y  0.0253  0.2500  0.1240  2 Pb 3.19
Y  0.1881  0.0486  0.6367  3 Pb 3.12-3.28
Y  0.1881  0.4514  0.6367  3 Pb 3.12-3.28
Y  0.3119  0.5486  0.1367  3 Pb 3.12-3.28
Y  0.3119  0.9514  0.1367  3 Pb 3.12-3.28
Y  0.4747  0.7500  0.6240  2 Pb 3.19
Y  0.5253  0.2500  0.3760  2 Pb 3.19
Y  0.6881  0.0486  0.8633  3 Pb 3.12-3.28
Y  0.6881  0.4514  0.8633  3 Pb 3.12-3.28
Y  0.8119  0.5486  0.3633  3 Pb 3.12-3.28
Y  0.8119  0.9514  0.3633  3 Pb 3.12-3.28
Y  0.9747  0.7500  0.8760  2 Pb 3.19
Pb  0.1154  0.7500  0.4187  8 Y 3.12-3.28
Pb  0.3846  0.2500  0.9187  8 Y 3.12-3.28
Pb  0.6154  0.7500  0.0813  8 Y 3.12-3.28
Pb  0.8846  0.2500  0.5813  8 Y 3.12-3.28

---

(20)
Y2Pb3 after structural relaxation. Source: Alexandria, functional PBE.

* calculated density: 9.24 Mg/m³
* space group: No. 43
* E above lowest polymorph: 0.0 meV per atom
* calculated formation energy: -39 kJ per mole of atoms

Cell: 8.5724 6.4428 9.6815 Å, 60.33 40.77 78.90°
Last column: nearest neighbours and their distance in Å.
Fractional positions:
Y  0.0122  0.4878  0.0921  8 Pb 3.19-3.54
Y  0.1579  0.8421  0.2378  8 Pb 3.19-3.54
Y  0.4878  0.0122  0.4079  8 Pb 3.19-3.54
Y  0.8421  0.1579  0.7622  8 Pb 3.19-3.54
Pb  0.0626  0.0626  0.9374  6 Y 3.19-3.54, 4 Pb 3.45-3.51
Pb  0.3126  0.3126  0.1874  6 Y 3.19-3.54, 4 Pb 3.45-3.51
Pb  0.4868  0.5717  0.3083  5 Y 3.24-3.43, 5 Pb 3.30-3.51
Pb  0.5717  0.4868  0.6332  5 Y 3.24-3.43, 5 Pb 3.30-3.51
Pb  0.6168  0.9417  0.6783  5 Y 3.24-3.43, 5 Pb 3.30-3.51
Pb  0.9417  0.6168  0.7632  5 Y 3.24-3.43, 5 Pb 3.30-3.51

---

Number 1: raw total energy -25.411 eV per cell. Number 2: raw total energy -111.596 eV per cell. Number 3: raw total energy -18.243 eV per cell. Number 4: raw total energy -34.960 eV per cell. Number 5: raw total energy -24.035 eV per cell. Number 6: raw total energy -18.527 eV per cell. Number 7: raw total energy -35.229 eV per cell. Number 8: raw total energy -49.978 eV per cell. Number 9: raw total energy -37.183 eV per cell. Number 10: raw total energy -18.753 eV per cell. Number 11: raw total energy -18.181 eV per cell. Number 12: raw total energy -49.331 eV per cell. Number 13: raw total energy -48.442 eV per cell. Number 14: raw total energy -18.455 eV per cell. Number 15: raw total energy -23.839 eV per cell. Number 16: raw total energy -35.392 eV per cell. Number 17: raw total energy -17.790 eV per cell. Number 18: raw total energy -25.765 eV per cell. Number 19: raw total energy -96.715 eV per cell. Number 20: raw total energy -52.196 eV per cell.